(1)
# Ti2Rh2N | Alexandria | GGA-PBE | relaxed
# - Calculated total energy: -8.2795 eV/atom
# - Crystal system: tetragonal
# - Fermi-level density of states: 1.467 states/eV per atom
# - Polymorph energy (0 for the lowest one): 0 meV/atom
data_Ti2Rh2N
_chemical_formula_sum 'Ti4 Rh4 N2'
_space_group_name_H-M_alt 'P 4/m b m'
_space_group_IT_number 127
_space_group_name_Hall '-P 4 2ab'
_cell_length_a 5.508
_cell_length_b 5.508
_cell_length_c 4.494
_cell_angle_alpha 90.00
_cell_angle_beta 90.00
_cell_angle_gamma 90.00
loop_
_atom_site_label
_atom_site_fract_x
_atom_site_fract_y
_atom_site_fract_z
_atom_site_occupancy
Ti1 0.174 0.326 0.000 1
Rh1 0.165 0.665 0.500 1
N1 0.000 0.000 0.000 1

***

(2)
# Ti3RhN | Alexandria | GGA-PBE | relaxed
# - Calculated total energy: -8.5455 eV/atom
# - Crystal system: monoclinic
# - Fermi-level density of states: 0.781 states/eV per atom
data_Ti3RhN
_chemical_formula_sum 'Ti12 Rh4 N4'
_space_group_name_H-M_alt 'C 1 2/m 1'
_space_group_IT_number 12
_cell_length_a 14.430
_cell_length_b 2.891
_cell_length_c 9.179
_cell_angle_alpha 90.00
_cell_angle_beta 127.51
_cell_angle_gamma 90.00
loop_
_space_group_symop_operation_xyz
'x,y,z'
'-x,-y,-z'
'-x,y,-z'
'x,-y,z'
'x+1/2,y+1/2,z'
'-x+1/2,-y+1/2,-z'
'-x+1/2,y+1/2,-z'
'x+1/2,-y+1/2,z'
loop_
_atom_site_label
_atom_site_fract_x
_atom_site_fract_y
_atom_site_fract_z
_atom_site_occupancy
Ti1 0.070 0.000 0.192 1
Ti2 0.170 0.500 0.028 1
Ti3 0.197 0.000 0.573 1
Rh1 0.115 0.000 0.755 1
N1 0.137 0.500 0.384 1

***

(3)
# Ti12Rh6N | Alexandria | GGA-PBE | relaxed
# - Calculated total energy: -8.1577 eV/atom
# - Crystal system: trigonal
# - Fermi-level density of states: 1.079 states/eV per atom
data_Ti12Rh6N
_chemical_formula_sum 'Ti36 Rh18 N3'
_space_group_name_H-M_alt 'R -3'
_space_group_IT_number 148
_space_group_name_Hall '-R 3'
_cell_length_a 10.6792
_cell_length_b 10.6792
_cell_length_c 9.5421
_cell_angle_alpha 90.00
_cell_angle_beta 90.00
_cell_angle_gamma 120.00
loop_
_atom_site_label
_atom_site_fract_x
_atom_site_fract_y
_atom_site_fract_z
_atom_site_occupancy
Ti1 0.0351 0.1947 0.3774 1
Ti2 0.0673 0.1783 0.8718 1
Rh1 0.0371 0.4234 0.2956 1
N1 0.0000 0.0000 0.0000 1

***

(4)
# Ti2RhN | Alexandria | GGA-PBE | relaxed
# - Calculated total energy: -9.0491 eV/atom
# - Crystal system: trigonal
# - Fermi-level density of states: 1.021 states/eV per atom
data_Ti2RhN
_chemical_formula_sum 'Ti6 Rh3 N3'
_space_group_name_H-M_alt 'R -3 m'
_space_group_IT_number 166
_space_group_name_Hall '-R 3 2"'
_cell_length_a 2.9556
_cell_length_b 2.9556
_cell_length_c 19.8969
_cell_angle_alpha 90.00
_cell_angle_beta 90.00
_cell_angle_gamma 120.00
loop_
_atom_site_label
_atom_site_fract_x
_atom_site_fract_y
_atom_site_fract_z
_atom_site_occupancy
Ti1 0.0000 0.0000 0.2269 1
Rh1 0.0000 0.0000 0.0000 1
N1 0.0000 0.0000 0.5000 1

***

no.,uncorrected formation energy (eV per atom)
1,-0.52
2,-0.67
3,-0.41
4,-1.18